[1]
This record from OQMD describes a geometry-optimized HfZr2As structure. The functional is PBE-GGA.

Cell and atoms, written as CIF:
```
data_HfZr2As
_space_group_name_H-M_alt 'F -4 3 m'
_space_group_IT_number 216
_space_group_name_Hall 'F -4 2 3'
_cell_length_a 6.845
_cell_length_b 6.845
_cell_length_c 6.845
_cell_angle_alpha 90.00
_cell_angle_beta 90.00
_cell_angle_gamma 90.00
loop_
_atom_site_label
_atom_site_type_symbol
_atom_site_fract_x
_atom_site_fract_y
_atom_site_fract_z
Hf1 Hf 0.000 0.000 0.000
Zr1 Zr 0.000 0.000 0.500
Zr2 Zr 0.250 0.250 0.250
As1 As 0.250 0.250 0.750
```

Calculated values
Calculated total energy = -8.03 eV/atom
Crystal system = cubic

***

[2]
This record from OQMD describes a geometry-optimized Dy2Y4TmNi2Te2 structure. The functional is PBE-GGA.

Cell and atoms, written as CIF:
```
data_Dy2Y4TmNi2Te2
_space_group_name_H-M_alt 'I m m 2'
_space_group_IT_number 44
_cell_length_a 3.857
_cell_length_b 15.650
_cell_length_c 9.595
_cell_angle_alpha 90.00
_cell_angle_beta 90.00
_cell_angle_gamma 90.00
loop_
_space_group_symop_operation_xyz
'x,y,z'
'-x,-y,z'
'-x,y,z'
'x,-y,z'
'x+1/2,y+1/2,z+1/2'
'-x+1/2,-y+1/2,z+1/2'
'-x+1/2,y+1/2,z+1/2'
'x+1/2,-y+1/2,z+1/2'
loop_
_atom_site_label
_atom_site_type_symbol
_atom_site_fract_x
_atom_site_fract_y
_atom_site_fract_z
Dy1 Dy 0.000 0.184 0.000
Y1 Y 0.000 0.146 0.649
Y2 Y 0.000 0.369 0.799
Tm1 Tm 0.000 0.500 0.381
Ni1 Ni 0.000 0.262 0.309
Te1 Te 0.000 0.000 0.145
Te2 Te 0.000 0.500 0.045
```

Calculated values
Calculated total energy = -5.85 eV/atom
Crystal system = orthorhombic

***

[3]
This record from OQMD describes a geometry-optimized HfTcNiBi structure. The functional is PBE-GGA.

Cell and atoms, written as CIF:
```
data_HfTcNiBi
_space_group_name_H-M_alt 'F -4 3 m'
_space_group_IT_number 216
_space_group_name_Hall 'F -4 2 3'
_cell_length_a 6.647
_cell_length_b 6.647
_cell_length_c 6.647
_cell_angle_alpha 90.00
_cell_angle_beta 90.00
_cell_angle_gamma 90.00
loop_
_atom_site_label
_atom_site_type_symbol
_atom_site_fract_x
_atom_site_fract_y
_atom_site_fract_z
Hf1 Hf 0.000 0.000 0.000
Tc1 Tc 0.250 0.250 0.750
Ni1 Ni 0.000 0.000 0.500
Bi1 Bi 0.250 0.250 0.250
```

Calculated values
Calculated total energy = -7.05 eV/atom
Crystal system = cubic

***

[4]
This record from OQMD describes a geometry-optimized Ta2Sn3Mo4N3 structure. The functional is PBE-GGA.

Cell and atoms, written as CIF:
```
data_Ta2Sn3Mo4N3
_space_group_name_H-M_alt 'C 1 2/c 1'
_space_group_IT_number 15
_cell_length_a 9.931
_cell_length_b 5.539
_cell_length_c 13.695
_cell_angle_alpha 90.00
_cell_angle_beta 103.53
_cell_angle_gamma 90.00
loop_
_space_group_symop_operation_xyz
'x,y,z'
'-x,-y,-z'
'-x,y,-z+1/2'
'x,-y,z+1/2'
'x+1/2,y+1/2,z'
'-x+1/2,-y+1/2,-z'
'-x+1/2,y+1/2,-z+1/2'
'x+1/2,-y+1/2,z+1/2'
loop_
_atom_site_label
_atom_site_type_symbol
_atom_site_fract_x
_atom_site_fract_y
_atom_site_fract_z
Ta1 Ta 0.070 0.097 0.423
Sn1 Sn 0.000 0.423 0.250
Sn2 Sn 0.169 0.084 0.748
Mo1 Mo 0.112 0.443 0.582
Mo2 Mo 0.210 0.399 0.919
N1 N 0.083 0.231 0.004
N2 N 0.250 0.250 0.500
```

Calculated values
Calculated total energy = -8.83 eV/atom
Crystal system = monoclinic

***

[5]
This record from OQMD describes a geometry-optimized RbNbAgTe2Se structure. The functional is PBE-GGA.

Cell and atoms, written as CIF:
```
data_RbNbAgTe2Se
_space_group_name_H-M_alt 'C m c m'
_space_group_IT_number 63
_space_group_name_Hall '-C 2c 2'
_cell_length_a 4.028
_cell_length_b 16.467
_cell_length_c 10.631
_cell_angle_alpha 90.00
_cell_angle_beta 90.00
_cell_angle_gamma 90.00
loop_
_atom_site_label
_atom_site_type_symbol
_atom_site_fract_x
_atom_site_fract_y
_atom_site_fract_z
Rb1 Rb 0.000 0.248 0.250
Nb1 Nb 0.000 0.500 0.000
Ag1 Ag 0.000 0.040 0.750
Te1 Te 0.000 0.123 0.530
Se1 Se 0.000 0.438 0.750
```

Calculated values
Calculated total energy = -4.41 eV/atom
Crystal system = orthorhombic

***

[6]
This record from OQMD describes a geometry-optimized Hf4FePbN2 structure. The functional is PBE-GGA.

Cell and atoms, written as CIF:
```
data_Hf4FePbN2
_space_group_name_H-M_alt 'P -6 m 2'
_space_group_IT_number 187
_space_group_name_Hall 'P -6 2'
_cell_length_a 3.2068
_cell_length_b 3.2068
_cell_length_c 14.1025
_cell_angle_alpha 90.00
_cell_angle_beta 90.00
_cell_angle_gamma 120.00
loop_
_atom_site_label
_atom_site_type_symbol
_atom_site_fract_x
_atom_site_fract_y
_atom_site_fract_z
Hf1 Hf 0.0000 0.0000 0.1368
Hf2 Hf 0.6667 0.3333 0.3226
Fe1 Fe 0.6667 0.3333 0.0000
Pb1 Pb 0.0000 0.0000 0.5000
N1 N 0.3333 0.6667 0.2309
```

Calculated values
Calculated total energy = -9.38 eV/atom
Crystal system = hexagonal

***

[7]
This record from OQMD describes a geometry-optimized PmNpHg structure. The functional is PBE-GGA.

Cell and atoms, written as CIF:
```
data_PmNpHg
_space_group_name_H-M_alt 'F -4 3 m'
_space_group_IT_number 216
_space_group_name_Hall 'F -4 2 3'
_cell_length_a 7.137
_cell_length_b 7.137
_cell_length_c 7.137
_cell_angle_alpha 90.00
_cell_angle_beta 90.00
_cell_angle_gamma 90.00
loop_
_atom_site_label
_atom_site_type_symbol
_atom_site_fract_x
_atom_site_fract_y
_atom_site_fract_z
Pm1 Pm 0.000 0.000 0.000
Np1 Np 0.250 0.250 0.750
Hg1 Hg 0.000 0.000 0.500
```

Calculated values
Calculated total energy = -5.28 eV/atom
Crystal system = cubic

***

[8]
This record from OQMD describes a geometry-optimized PrHfPb structure. The functional is PBE-GGA.

Cell and atoms, written as CIF:
```
data_PrHfPb
_space_group_name_H-M_alt 'F -4 3 m'
_space_group_IT_number 216
_space_group_name_Hall 'F -4 2 3'
_cell_length_a 7.182
_cell_length_b 7.182
_cell_length_c 7.182
_cell_angle_alpha 90.00
_cell_angle_beta 90.00
_cell_angle_gamma 90.00
loop_
_atom_site_label
_atom_site_type_symbol
_atom_site_fract_x
_atom_site_fract_y
_atom_site_fract_z
Pr1 Pr 0.000 0.000 0.000
Hf1 Hf 0.000 0.000 0.500
Pb1 Pb 0.250 0.250 0.750
```

Calculated values
Calculated total energy = -5.91 eV/atom
Crystal system = cubic